No. 1
This record from Alexandria via LeMat-Bulk describes a relaxed structure of RbTl6Sn2. The functional is PBE.

Properties
Distance to the lowest polymorph of the same formula, meV/atom: 0
Density, g cm⁻³: 8.4
Spin magnetization, μB/cell: 0.0

abc: 5.2941 5.2941 10.8938
angles: 90.00 90.00 90.00
Fractional positions:
Rb 0.0000 0.0000 0.0000
Tl 0.0000 0.0000 0.5000
Tl 0.0000 0.5000 0.2956
Tl 0.0000 0.5000 0.7044
Tl 0.5000 0.0000 0.2956
Tl 0.5000 0.0000 0.7044
Tl 0.5000 0.5000 0.5000
Sn 0.5000 0.5000 0.1345
Sn 0.5000 0.5000 0.8655

---

No. 2
This record from Alexandria via LeMat-Bulk describes a relaxed structure of RbTl2Sn. The functional is PBE.

Properties
Distance to the lowest polymorph of the same formula, meV/atom: 11
Density, g cm⁻³: 6.7
Spin magnetization, μB/cell: 0.0

abc: 5.0750 5.0750 20.5842
angles: 90.00 90.00 120.00
Fractional positions:
Rb 0.0000 0.0000 0.0000
Rb 0.3333 0.6667 0.6667
Rb 0.6667 0.3333 0.3333
Tl 0.0000 0.0000 0.2238
Tl 0.0000 0.0000 0.7762
Tl 0.3333 0.6667 0.4429
Tl 0.3333 0.6667 0.8905
Tl 0.6667 0.3333 0.1095
Tl 0.6667 0.3333 0.5571
Sn 0.0000 0.0000 0.5000
Sn 0.3333 0.6667 0.1667
Sn 0.6667 0.3333 0.8333

---

No. 3
This record from Alexandria via LeMat-Bulk describes a relaxed structure of RbTlSn3. The functional is PBE.

Properties
Distance to the lowest polymorph of the same formula, meV/atom: 37
Density, g cm⁻³: 6.1
Spin magnetization, μB/cell: 0.0

abc: 8.6983 8.6983 6.2701
angles: 90.00 90.00 131.88
Fractional positions:
Rb 0.0916 0.9084 0.7500
Rb 0.9084 0.0916 0.2500
Tl 0.5000 0.5000 0.0000
Tl 0.5000 0.5000 0.5000
Sn 0.1171 0.4691 0.7500
Sn 0.3132 0.6868 0.2500
Sn 0.4691 0.1171 0.2500
Sn 0.5309 0.8829 0.7500
Sn 0.6868 0.3132 0.7500
Sn 0.8829 0.5309 0.2500

---

No. 4
This record from Alexandria via LeMat-Bulk describes a relaxed structure of RbTlSn. The functional is PBE.

Properties
Density, g cm⁻³: 6.3
Spin magnetization, μB/cell: 0.0

abc: 5.4656 5.4656 8.2614
angles: 90.00 90.00 120.00
Fractional positions:
Rb 0.0000 0.0000 0.0000
Rb 0.0000 0.0000 0.5000
Tl 0.6667 0.3333 0.2031
Tl 0.6667 0.3333 0.7969
Sn 0.3333 0.6667 0.3070
Sn 0.3333 0.6667 0.6930

---

No. 5
This record from Alexandria via LeMat-Bulk describes a relaxed structure of Rb2Tl5Sn3. The functional is PBE.

Properties
Distance to the lowest polymorph of the same formula, meV/atom: 0
Density, g cm⁻³: 7.1
Spin magnetization, μB/cell: 0.0

abc: 5.3587 5.3587 12.5682
angles: 90.00 90.00 90.00
Fractional positions:
Rb 0.0000 0.5000 0.2400
Rb 0.5000 0.0000 0.7600
Tl 0.0000 0.0000 0.5000
Tl 0.0000 0.5000 0.6373
Tl 0.5000 0.0000 0.3627
Tl 0.5000 0.5000 0.0000
Tl 0.5000 0.5000 0.5000
Sn 0.0000 0.0000 0.0000
Sn 0.0000 0.5000 0.8785
Sn 0.5000 0.0000 0.1215

---

No. 6
This record from Alexandria via LeMat-Bulk describes a relaxed structure of Rb3TlSn. The functional is PBE.

Properties
Distance to the lowest polymorph of the same formula, meV/atom: 304
Density, g cm⁻³: 2.7
Spin magnetization, μB/cell: 0.3

abc: 7.0967 7.0967 7.0967
angles: 90.00 90.00 90.00
Fractional positions:
Rb 0.0000 0.0000 0.5000
Rb 0.0000 0.5000 0.0000
Rb 0.5000 0.0000 0.0000
Tl 0.5000 0.5000 0.5000
Sn 0.0000 0.0000 0.0000

---

No. 7
This record from Alexandria via LeMat-Bulk describes a relaxed structure of RbTl2Sn. The functional is PBE.

Properties
Distance to the lowest polymorph of the same formula, meV/atom: 167
Density, g cm⁻³: 7.4
Spin magnetization, μB/cell: 0.0

abc: 5.5662 5.5662 4.4245
angles: 90.00 90.00 90.00
Fractional positions:
Rb 0.0000 0.0000 0.0000
Tl 0.0000 0.5000 0.5000
Tl 0.5000 0.0000 0.5000
Sn 0.5000 0.5000 0.0000

---

No. 8
This record from Alexandria via LeMat-Bulk describes a relaxed structure of RbTlSn. The functional is PBE.

Properties
Density, g cm⁻³: 3.3
Spin magnetization, μB/cell: 0.0

abc: 6.4735 6.4735 11.3165
angles: 90.00 90.00 120.00
Fractional positions:
Rb 0.3333 0.6667 0.2500
Rb 0.6667 0.3333 0.7500
Tl 0.0000 0.0000 0.2500
Tl 0.0000 0.0000 0.7500
Sn 0.0000 0.0000 0.0000
Sn 0.0000 0.0000 0.5000

---

No. 9
This record from Alexandria via LeMat-Bulk describes a relaxed structure of RbTl3Sn2. The functional is PBE.

Properties
Distance to the lowest polymorph of the same formula, meV/atom: 0
Density, g cm⁻³: 7.6
Spin magnetization, μB/cell: 0.0

abc: 9.9023 9.9023 8.4609
angles: 109.81 109.81 31.68
Fractional positions:
Rb 0.1316 0.1316 0.1663
Rb 0.8684 0.8684 0.8337
Tl 0.0427 0.0427 0.6905
Tl 0.3192 0.3192 0.0950
Tl 0.3357 0.3357 0.5218
Tl 0.6643 0.6643 0.4782
Tl 0.6808 0.6808 0.9050
Tl 0.9573 0.9573 0.3095
Sn 0.2065 0.2065 0.7053
Sn 0.4943 0.4943 0.1708
Sn 0.5057 0.5057 0.8292
Sn 0.7935 0.7935 0.2947

---

No. 10
This record from Alexandria via LeMat-Bulk describes a relaxed structure of RbTlSn. The functional is PBE.

Properties
Density, g cm⁻³: 5.1
Spin magnetization, μB/cell: 0.0

abc: 12.0410 4.4101 10.0337
angles: 90.00 90.00 90.00
Fractional positions:
Rb 0.1989 0.2500 0.0872
Rb 0.3011 0.7500 0.5872
Rb 0.6989 0.2500 0.4128
Rb 0.8011 0.7500 0.9128
Tl 0.0460 0.2500 0.7486
Tl 0.4540 0.7500 0.2486
Tl 0.5460 0.2500 0.7514
Tl 0.9540 0.7500 0.2514
Sn 0.0750 0.2500 0.4479
Sn 0.4250 0.7500 0.9479
Sn 0.5750 0.2500 0.0521
Sn 0.9250 0.7500 0.5521

---

The following ΔH_f (0 K) values (in meV per atom) correspond, in order, to the records above: -32, -88, -31, -79, -86, 264, 68, 319, -61, -132.
The following electronic total energy values (in Ry per atom) correspond, in order, to the records above: -0.1916, -0.1847, -0.2278, -0.1856, -0.1957, -0.1169, -0.1733, -0.1563, -0.2014, -0.1895.